(1)
## ReHgOs2 (PBE-GGA)

Data for an optimized crystal structure of ReHgOs2.

Lattice parameters (Å, degrees): 6.356 6.356 6.356 90.00 90.00 90.00
Space group F-43m (No. 216)
Unique sites:
Re1 0.000 0.000 0.000
Hg1 0.250 0.250 0.250
Os1 0.000 0.000 0.500
Os2 0.250 0.250 0.750

Spin magnetization in μB/atom: 0.26
E in eV per atom: -7.721
V in Å³/cell: 256.8
E_form in eV per atom: 1.08

=====

(2)
## ReHg2Os (PBE-GGA)

Data for an optimized crystal structure of ReHg2Os.

Lattice parameters (Å, degrees): 4.637 4.637 3.218 90.00 90.00 90.00
Space group P4/mmm (No. 123)
Unique sites:
Re1 0.000 0.000 0.000
Hg1 0.000 0.500 0.500
Os1 0.500 0.500 0.000

Spin magnetization in μB/atom: 0.18
E in eV per atom: -4.762
V in Å³/cell: 69.2
Energy above the lowest structure with this stoichiometry in meV per atom: 921
E_form in eV per atom: 1.31

=====

(3)
## ReHg2Os (PBE-GGA)

Data for an optimized crystal structure of ReHg2Os.

Lattice parameters (Å, degrees): 2.9065 2.9065 28.4011 90.00 90.00 120.00
Space group R-3m (No. 166, hexagonal axes)
Unique sites:
Re1 0.0000 0.0000 0.0000
Hg1 0.0000 0.0000 0.2495
Os1 0.0000 0.0000 0.5000

Spin magnetization in μB/atom: 0.00
E in eV per atom: -5.112
V in Å³/cell: 207.8
Energy above the lowest structure with this stoichiometry in meV per atom: 571
E_form in eV per atom: 0.96

=====

(4)
## ReHg2Os (PBE-GGA)

Data for an optimized crystal structure of ReHg2Os.

Lattice parameters (Å, degrees): 2.860 4.948 9.985 90.00 90.00 90.00
Space group Cmmm (No. 65)
Unique sites:
Re1 0.000 0.000 0.000
Hg1 0.000 0.500 0.252
Os1 0.000 0.000 0.500

Spin magnetization in μB/atom: 0.00
E in eV per atom: -5.062
V in Å³/cell: 141.3
Energy above the lowest structure with this stoichiometry in meV per atom: 620
E_form in eV per atom: 1.01

=====

Question: Among the records above, which one has the highest E_form?
Answer: number 2